Ac2InS2O2 | PBE | relaxed

POSCAR file:
```
Ac2InS2O2
1.0
12.351 0.000 0.000
0.000 4.105 0.000
-3.668 0.000 6.262
Ac In S O
4 2 4 4
Cartesian
1.482 0.000 1.451 Ac
1.025 2.053 4.811 Ac
7.658 2.053 1.451 Ac
7.200 0.000 4.811 Ac
-1.834 0.000 3.131 In
4.341 2.053 3.131 In
-2.244 2.053 5.151 S
4.752 0.000 1.111 S
3.931 0.000 5.151 S
10.927 2.053 1.111 S
0.431 0.000 3.709 O
2.077 2.053 2.553 O
6.606 2.053 3.709 O
8.252 0.000 2.553 O
```

Calculated values
For the raw total energy, the calculation gives -88.31 eV/cell. The energy relative to the elements, uncorrected comes out at -2147 meV/atom. The density of states at the Fermi level comes out at 0.665 states/eV per atom.

***

BePOs3 | PBE | relaxed

POSCAR file:
```
BePOs3
1.0
4.109 0.000 0.000
0.000 4.109 0.000
0.000 0.000 4.109
Be P Os
1 1 3
Cartesian
0.000 0.000 0.000 Be
2.054 2.054 2.054 P
0.000 0.000 2.054 Os
0.000 2.054 0.000 Os
2.054 0.000 0.000 Os
```

Calculated values
For the raw total energy, the calculation gives -37.29 eV/cell. The density of states at the Fermi level comes out at 2.061 states/eV per atom. The value obtained for the formation energy is 1.11 eV per atom.

***

BaH2RhN | PBE | relaxed

POSCAR file:
```
BaH2RhN
1.0
4.056 0.000 0.000
0.000 4.056 0.000
0.000 0.000 3.904
Ba H Rh N
1 2 1 1
Cartesian
0.000 0.000 0.000 Ba
0.000 2.028 1.952 H
2.028 0.000 1.952 H
2.028 2.028 1.952 Rh
2.028 2.028 0.000 N
```

Calculated values
For the raw total energy, the calculation gives -25.78 eV/cell. The density of states at the Fermi level comes out at 0.683 states/eV per atom.

***

AuSeBr4 | PBE | relaxed

POSCAR file:
```
AuSeBr4
1.0
0.000 4.372 4.372
4.372 0.000 4.372
4.372 4.372 0.000
Au Se Br
1 1 4
Cartesian
0.000 0.000 0.000 Au
2.186 2.186 2.186 Se
5.470 3.274 3.274 Br
3.274 5.470 3.274 Br
3.274 3.274 5.470 Br
5.470 5.470 5.470 Br
```

Calculated values
For the raw total energy, the calculation gives -7.56 eV/cell. The energy relative to the elements, uncorrected comes out at 982 meV/atom. The density of states at the Fermi level comes out at 1.078 states/eV per atom.

***

CoNi2Ir2 | PBE | relaxed

POSCAR file:
```
CoNi2Ir2
1.0
7.066 0.000 0.000
0.000 7.066 0.000
0.000 0.000 2.713
Co Ni Ir
2 4 4
Cartesian
0.000 0.000 0.000 Co
3.533 3.533 0.000 Co
1.182 2.351 1.356 Ni
2.351 5.884 1.356 Ni
4.715 1.182 1.356 Ni
5.884 4.715 1.356 Ni
0.931 4.464 0.000 Ir
2.602 0.931 0.000 Ir
4.464 6.136 0.000 Ir
6.136 2.602 0.000 Ir
```

Calculated values
For the raw total energy, the calculation gives -69.09 eV/cell. The density of states at the Fermi level comes out at 1.579 states/eV per atom. The value obtained for the formation energy is 0.37 eV per atom.

***

TeWSe | PBE | relaxed

POSCAR file:
```
TeWSe
1.0
16.116 0.000 0.000
0.000 3.352 0.000
-2.413 0.000 5.815
Te W Se
4 4 4
Cartesian
1.554 0.000 1.926 Te
4.091 1.676 3.889 Te
9.612 1.676 1.926 Te
12.149 0.000 3.889 Te
1.951 0.000 4.749 W
3.693 1.676 1.066 W
10.009 1.676 4.749 W
11.751 0.000 1.066 W
0.063 1.676 4.630 Se
5.582 0.000 1.186 Se
8.121 0.000 4.630 Se
13.640 1.676 1.186 Se
```

Calculated values
For the raw total energy, the calculation gives -82.19 eV/cell. The energy relative to the elements, uncorrected comes out at -323 meV/atom. The density of states at the Fermi level comes out at 0.240 states/eV per atom.

***

PmTa2ReC4 | PBE | relaxed

POSCAR file:
```
PmTa2ReC4
1.0
1.645 -5.737 0.000
1.645 5.737 0.000
0.000 0.000 11.210
Pm Ta Re C
2 4 2 8
Cartesian
1.645 4.546 8.407 Pm
1.645 -4.546 2.802 Pm
1.645 1.467 6.016 Ta
1.645 1.467 10.799 Ta
1.645 -1.467 0.411 Ta
1.645 -1.467 5.194 Ta
1.645 3.896 2.802 Re
1.645 -3.896 8.407 Re
0.000 0.000 0.000 C
0.000 0.000 5.605 C
1.645 2.716 1.246 C
1.645 2.716 4.359 C
1.645 0.728 8.407 C
1.645 -0.728 2.802 C
1.645 -2.716 6.851 C
1.645 -2.716 9.964 C
```

Calculated values
For the raw total energy, the calculation gives -159.05 eV/cell. The density of states at the Fermi level comes out at 0.332 states/eV per atom. The value obtained for the formation energy is -0.22 eV per atom.

***

TiMo3W4 | PBE | relaxed

POSCAR file:
```
TiMo3W4
1.0
6.343 0.000 0.000
0.000 6.344 0.000
0.000 0.000 6.347
Ti Mo W
2 6 8
Cartesian
0.000 0.000 0.000 Ti
3.172 0.000 3.174 Ti
0.000 3.172 0.000 Mo
1.586 1.585 1.587 Mo
1.586 4.759 4.761 Mo
3.172 3.172 3.174 Mo
4.758 1.585 1.587 Mo
4.758 4.759 4.761 Mo
0.000 0.000 3.174 W
0.000 3.172 3.174 W
1.586 1.597 4.761 W
1.586 4.747 1.587 W
3.172 0.000 0.000 W
3.172 3.172 0.000 W
4.758 1.597 4.761 W
4.758 4.747 1.587 W
```

Calculated values
For the raw total energy, the calculation gives -185.79 eV/cell. The density of states at the Fermi level comes out at 0.746 states/eV per atom. The value obtained for the formation energy is -0.09 eV per atom.

***

Q: Among the records above, which one has the highest raw total energy?
A: AuSeBr4